A relaxed structure of FeP2WS. Source: Alexandria, functional PBE.

Summary:
Raw total energy   -0.2363 Ha/atom
E_form (uncorrected)   81 kJ/mol of atoms

a = 4.741 Å, b = 4.741 Å, c = 4.595 Å
α = 90.00°, β = 90.00°, γ = 90.00°
Atoms (fractional coordinates):
P 0.000 0.500 0.000
P 0.500 0.000 0.000
S 0.000 0.000 0.500
Fe 0.500 0.500 0.500
W 0.000 0.000 0.000

A relaxed structure of ReB. Source: Alexandria, functional PBE.

Summary:
Raw total energy   -0.3543 Ha/atom
DFT formation energy   -0.08 eV per atom

a = 4.664 Å, b = 4.634 Å, c = 7.756 Å
α = 90.00°, β = 90.00°, γ = 90.00°
Atoms (fractional coordinates):
Re 0.645 0.098 0.988
Re 0.145 0.402 0.012
Re 0.355 0.598 0.512
Re 0.855 0.902 0.488
Re 0.149 0.914 0.803
Re 0.649 0.586 0.197
Re 0.851 0.414 0.697
Re 0.351 0.086 0.303
B 0.049 0.902 0.092
B 0.549 0.598 0.908
B 0.951 0.402 0.408
B 0.451 0.098 0.592
B 0.337 0.350 0.758
B 0.837 0.150 0.242
B 0.663 0.850 0.742
B 0.163 0.650 0.258

- The highest raw total energy belongs to which entry?
  FeP2WS